! PBEsol CrHgS2, optimized geometry; values from VASP
&SYSTEM
  ibrav = 0, nat = 8, ntyp = 3
/
ATOMIC_SPECIES
Cr 52.00 Cr.upf
S 32.06 S.upf
Hg 200.59 Hg.upf
CELL_PARAMETERS angstrom
5.684 0.000 0.000
-2.842 6.174 0.852
0.000 -3.259 4.656
ATOMIC_POSITIONS crystal
Cr 0.750 0.500 0.250
Cr 0.500 0.000 0.500
S 0.834 0.250 0.875
S 0.416 0.250 0.375
S 0.625 0.750 0.166
S 0.125 0.750 0.584
Hg 0.250 0.500 0.750
Hg 0.000 0.000 0.000
! Crystal system: tetragonal
! DOS(E_F) (states/eV/atom): 0.41
! Formation energy (no corrections) (eV per atom): -0.183